Version a
This record from Alexandria describes CeMgBr6 after structural relaxation. The functional is PBE-GGA.

Properties
calculated density	3.66	g/cm³
magnetic moment	0.00	μB/f.u.

a = 7.420 Å, b = 7.420 Å, c = 6.826 Å
α = 98.24°, β = 98.24°, γ = 125.22°
Positions (direct):
Ce1 0.500 0.500 0.500
Mg1 0.000 0.000 0.000
Br1 0.620 0.906 0.762
Br2 0.906 0.620 0.762
Br3 0.094 0.380 0.238
Br4 0.380 0.094 0.238
Br5 0.250 0.250 0.750
Br6 0.750 0.750 0.250

---

Version b
This record from Alexandria describes CeMgBr6 after structural relaxation. The functional is PBE-GGA.

Properties
calculated density	4.03	g/cm³
magnetic moment	0.00	μB/f.u.

a = 6.959 Å, b = 6.958 Å, c = 7.494 Å
α = 62.33°, β = 62.36°, γ = 60.01°
Positions (direct):
Ce1 0.000 0.000 0.000
Mg1 0.500 0.500 0.500
Br1 0.107 0.404 0.743
Br2 0.745 0.107 0.744
Br3 0.597 0.254 0.256
Br4 0.255 0.893 0.256
Br5 0.893 0.596 0.257
Br6 0.403 0.746 0.744

---

Quick look at relative energies in meV/atom: version a 0; version b 20.

---

Version a
This record from Alexandria describes Ce2Br3N after structural relaxation. The functional is PBE-GGA.

Properties
calculated density	5.40	g/cm³
magnetic moment	2.00	μB/f.u.

a = 12.059 Å, b = 12.059 Å, c = 12.059 Å
α = 104.39°, β = 104.39°, γ = 120.19°
Last column: magnetic moment on the atom in μB.
Positions (direct):
Ce1 0.250 0.155 0.646  0.94
Ce2 0.993 0.985 0.329  0.96
Ce3 0.655 0.664 0.671  0.96
Ce4 0.000 0.595 0.854  0.94
Ce5 0.015 0.345 0.009  0.96
Ce6 0.405 0.258 0.405  0.94
Ce7 0.508 0.603 0.354  0.94
Ce8 0.397 0.750 0.905  0.94
Ce9 0.853 0.000 0.595  0.94
Ce10 0.595 0.086 0.829  0.96
Ce11 0.235 0.405 0.491  0.96
Ce12 0.742 0.147 0.146  0.94
Ce13 0.914 0.743 0.509  0.96
Ce14 0.336 0.007 0.991  0.96
Ce15 0.845 0.492 0.095  0.94
Ce16 0.257 0.765 0.171  0.96
Br1 0.855 0.441 0.328  -0.01
Br2 0.112 0.527 0.672  -0.01
Br3 0.835 0.261 0.735  -0.01
Br4 0.003 0.844 0.809  -0.01
Br5 0.559 0.888 0.414  -0.01
Br6 0.034 0.194 0.191  -0.01
Br7 0.526 0.100 0.265  -0.01
Br8 0.156 0.966 0.159  -0.01
Br9 0.806 0.997 0.841  -0.01
Br10 0.247 0.906 0.691  -0.01
Br11 0.739 0.474 0.574  -0.01
Br12 0.395 0.309 0.172  -0.01
Br13 0.138 0.223 0.828  -0.01
Br14 0.511 0.276 0.926  -0.01
Br15 0.473 0.145 0.586  -0.01
Br16 0.691 0.862 0.086  -0.01
Br17 0.415 0.489 0.765  -0.01
Br18 0.777 0.605 0.914  -0.01
Br19 0.216 0.556 0.309  -0.01
Br20 0.350 0.585 0.074  -0.01
Br21 0.094 0.784 0.341  -0.01
Br22 0.900 0.165 0.426  -0.01
Br23 0.724 0.650 0.235  -0.01
Br24 0.444 0.753 0.659  -0.01
N1 0.446 0.481 0.477  -0.04
N2 0.519 0.996 0.965  -0.04
N3 0.219 0.196 0.465  -0.04
N4 0.731 0.754 0.535  -0.04
N5 0.004 0.969 0.523  -0.04
N6 0.804 0.269 0.023  -0.04
N7 0.246 0.781 0.977  -0.04
N8 0.031 0.554 0.035  -0.04

---

Version b
This record from Alexandria describes Ce2Br3N after structural relaxation. The functional is PBE-GGA.

Properties
calculated density	4.94	g/cm³
magnetic moment	1.97	μB/f.u.

a = 4.053 Å, b = 9.317 Å, c = 10.337 Å
α = 72.18°, β = 78.69°, γ = 77.44°
Last column: magnetic moment on the atom in μB.
Positions (direct):
Ce1 0.867 0.484 0.781  0.91
Ce2 0.133 0.516 0.219  0.91
Ce3 0.578 0.302 0.543  0.84
Ce4 0.422 0.698 0.457  0.84
Br1 0.041 0.158 0.760  -0.01
Br2 0.959 0.842 0.240  -0.01
Br3 0.666 0.676 0.992  -0.01
Br4 0.334 0.324 0.008  -0.01
Br5 0.779 0.822 0.621  -0.01
Br6 0.221 0.178 0.379  -0.01
N1 0.428 0.494 0.650  -0.04
N2 0.572 0.506 0.350  -0.04

---

Quick look at relative energies in meV/atom: version a 6; version b 0.

---

Version a
This record from Alexandria describes NaCe2Br6 after structural relaxation. The functional is PBE-GGA.

Properties
calculated density	3.87	g/cm³
magnetic moment	3.00	μB/f.u.

a = 7.111 Å, b = 7.111 Å, c = 13.267 Å
α = 90.00°, β = 90.00°, γ = 90.00°
Last column: magnetic moment on the atom in μB.
Positions (direct):
Na1 0.500 0.500 0.000  0.00
Na2 0.000 0.000 0.500  0.00
Ce1 0.500 0.500 0.339  1.33
Ce2 0.500 0.500 0.661  1.33
Ce3 0.000 0.000 0.161  1.33
Ce4 0.000 0.000 0.839  1.33
Br1 0.700 0.700 0.169  -0.01
Br2 0.700 0.700 0.831  -0.01
Br3 0.705 0.705 0.500  -0.01
Br4 0.795 0.205 0.000  -0.01
Br5 0.800 0.200 0.331  -0.01
Br6 0.800 0.200 0.669  -0.01
Br7 0.200 0.800 0.331  -0.01
Br8 0.200 0.800 0.669  -0.01
Br9 0.205 0.795 0.000  -0.01
Br10 0.295 0.295 0.500  -0.01
Br11 0.300 0.300 0.169  -0.01
Br12 0.300 0.300 0.831  -0.01

---

Version b
This record from Alexandria describes NaCe2Br6 after structural relaxation. The functional is PBE-GGA.

Properties
calculated density	3.83	g/cm³
magnetic moment	3.00	μB/f.u.

a = 7.578 Å, b = 7.578 Å, c = 8.111 Å
α = 62.15°, β = 62.15°, γ = 60.00°
Last column: magnetic moment on the atom in μB.
Positions (direct):
Na1 0.791 0.791 0.627  0.00
Ce1 0.292 0.292 0.124  1.31
Ce2 0.470 0.470 0.591  1.29
Br1 0.554 0.203 0.362  -0.01
Br2 0.203 0.881 0.362  -0.01
Br3 0.881 0.554 0.362  -0.01
Br4 0.396 0.683 0.857  -0.01
Br5 0.683 0.064 0.857  -0.01
Br6 0.064 0.396 0.857  -0.01

---

Quick look at relative energies in meV/atom: version a 6; version b 0.

---

Version a
This record from Alexandria describes NaCeBr4 after structural relaxation. The functional is PBE-GGA.

Properties
calculated density	3.50	g/cm³
magnetic moment	1.00	μB/f.u.

a = 4.431 Å, b = 7.629 Å, c = 13.705 Å
α = 98.69°, β = 90.00°, γ = 90.00°
Last column: magnetic moment on the atom in μB.
Positions (direct):
Na1 0.500 0.000 0.500  0.00
Na2 0.000 0.000 0.000  0.00
Ce1 0.000 0.500 0.500  0.98
Ce2 0.500 0.500 0.000  0.98
Br1 0.500 0.617 0.380  -0.01
Br2 0.000 0.383 0.120  -0.01
Br3 0.500 0.383 0.620  -0.01
Br4 0.000 0.617 0.880  -0.01
Br5 0.000 0.149 0.390  -0.01
Br6 0.500 0.851 0.110  -0.01
Br7 0.000 0.851 0.610  -0.01
Br8 0.500 0.149 0.890  -0.01

---

Version b
This record from Alexandria describes NaCeBr4 after structural relaxation. The functional is PBE-GGA.

Properties
calculated density	3.58	g/cm³
magnetic moment	1.00	μB/f.u.

a = 7.356 Å, b = 7.445 Å, c = 9.598 Å
α = 106.30°, β = 105.94°, γ = 106.25°
Last column: magnetic moment on the atom in μB.
Positions (direct):
Na1 0.842 0.092 0.184  0.00
Na2 0.158 0.908 0.816  0.00
Ce1 0.336 0.586 0.172  -0.98
Ce2 0.664 0.414 0.828  -0.98
Br1 0.317 0.070 0.618  0.01
Br2 0.044 0.783 0.086  0.01
Br3 0.199 0.452 0.382  0.01
Br4 0.458 0.697 0.914  0.01
Br5 0.683 0.930 0.382  0.01
Br6 0.801 0.548 0.618  0.01
Br7 0.956 0.217 0.914  0.01
Br8 0.542 0.303 0.086  0.01

---

Quick look at relative energies in meV/atom: version a 0; version b 26.

---

Version a
This record from Alexandria describes Na2Ce2Br7 after structural relaxation. The functional is PBE-GGA.

Properties
calculated density	3.66	g/cm³
magnetic moment	3.01	μB/f.u.

a = 7.650 Å, b = 7.327 Å, c = 7.327 Å
α = 81.56°, β = 83.46°, γ = 83.46°
Last column: magnetic moment on the atom in μB.
Positions (direct):
Na1 0.500 0.719 0.281  0.00
Na2 0.500 0.281 0.719  0.00
Ce1 0.001 0.724 0.724  1.36
Ce2 0.999 0.276 0.276  1.36
Br1 0.255 0.977 0.474  -0.01
Br2 0.745 0.526 0.023  -0.01
Br3 0.745 0.023 0.526  -0.01
Br4 0.255 0.474 0.977  -0.01
Br5 0.000 0.000 0.000  -0.01
Br6 0.759 0.525 0.525  -0.01
Br7 0.241 0.475 0.475  -0.01

---

Version b
This record from Alexandria describes Na2Ce2Br7 after structural relaxation. The functional is PBE-GGA.

Properties
calculated density	4.49	g/cm³
magnetic moment	3.01	μB/f.u.

a = 4.303 Å, b = 9.603 Å, c = 9.603 Å
α = 58.76°, β = 77.05°, γ = 77.05°
Last column: magnetic moment on the atom in μB.
Positions (direct):
Na1 0.732 0.851 0.685  0.00
Na2 0.268 0.315 0.149  0.00
Ce1 0.000 0.779 0.221  1.26
Ce2 0.500 0.348 0.652  1.25
Br1 0.818 0.067 0.297  0.00
Br2 0.876 0.404 0.843  -0.01
Br3 0.500 0.007 0.993  -0.01
Br4 0.606 0.505 0.284  -0.01
Br5 0.394 0.716 0.495  -0.01
Br6 0.182 0.703 0.933  0.00
Br7 0.124 0.157 0.596  -0.01

---

Quick look at relative energies in meV/atom: version a 32; version b 0.

---

Version a
This record from Alexandria describes Ce2P2Br after structural relaxation. The functional is PBE-GGA.

Properties
calculated density	5.01	g/cm³
magnetic moment	1.05	μB/f.u.

a = 4.686 Å, b = 4.686 Å, c = 7.363 Å
α = 90.00°, β = 90.00°, γ = 120.00°
Last column: magnetic moment on the atom in μB.
Positions (direct):
Ce1 0.667 0.333 0.723  0.56
Ce2 0.333 0.667 0.277  0.56
P1 0.667 0.333 0.350  -0.04
P2 0.333 0.667 0.650  -0.04
Br1 0.000 0.000 0.000  -0.01

---

Version b
This record from Alexandria describes Ce2P2Br after structural relaxation. The functional is PBE-GGA.

Properties
calculated density	5.18	g/cm³
magnetic moment	2.41	μB/f.u.

a = 4.578 Å, b = 4.578 Å, c = 8.510 Å
α = 119.33°, β = 119.33°, γ = 72.99°
Last column: magnetic moment on the atom in μB.
Positions (direct):
Ce1 0.553 0.553 0.262  0.93
Ce2 0.447 0.447 0.738  0.93
P1 0.209 0.791 0.500  -0.03
P2 0.791 0.209 0.500  -0.03
Br1 0.000 0.000 0.000  -0.01

---

Quick look at relative energies in meV/atom: version a 0; version b 135.

---

Version a
This record from Alexandria describes CePdBr6 after structural relaxation. The functional is PBE-GGA.

Properties
calculated density	4.03	g/cm³
magnetic moment	0.00	μB/f.u.

a = 7.778 Å, b = 7.675 Å, c = 6.976 Å
α = 105.08°, β = 105.75°, γ = 121.34°
Positions (direct):
Ce1 0.500 0.000 0.000
Pd1 0.000 0.000 0.000
Br1 0.946 0.165 0.312
Br2 0.633 0.852 0.688
Br3 0.367 0.148 0.312
Br4 0.054 0.835 0.688
Br5 0.296 0.588 0.000
Br6 0.704 0.412 0.000

---

Version b
This record from Alexandria describes CePdBr6 after structural relaxation. The functional is PBE-GGA.

Properties
calculated density	4.09	g/cm³
magnetic moment	0.00	μB/f.u.

a = 8.139 Å, b = 8.770 Å, c = 7.230 Å
α = 60.46°, β = 61.67°, γ = 41.97°
Positions (direct):
Ce1 0.500 0.500 0.500
Pd1 0.000 0.000 0.000
Br1 0.099 0.539 0.668
Br2 0.722 0.080 0.846
Br3 0.631 0.214 0.274
Br4 0.278 0.920 0.154
Br5 0.901 0.461 0.332
Br6 0.369 0.786 0.726

---

Quick look at relative energies in meV/atom: version a 0; version b 34.

---

Version a
This record from Alexandria describes CePm2Br6 after structural relaxation. The functional is PBE-GGA.

Properties
calculated density	4.89	g/cm³
magnetic moment	1.87	μB/f.u.

a = 5.665 Å, b = 9.771 Å, c = 5.917 Å
α = 99.15°, β = 90.00°, γ = 106.85°
Last column: magnetic moment on the atom in μB.
Positions (direct):
Ce1 0.000 0.000 0.500  -1.42
Pm1 0.746 0.493 0.793  -0.09
Pm2 0.254 0.507 0.207  -0.09
Br1 0.906 0.812 0.864  0.01
Br2 0.754 0.508 0.285  0.00
Br3 0.246 0.492 0.715  0.00
Br4 0.586 0.172 0.661  0.01
Br5 0.414 0.828 0.339  0.01
Br6 0.094 0.188 0.136  0.01

---

Version b
This record from Alexandria describes CePm2Br6 after structural relaxation. The functional is PBE-GGA.

Properties
calculated density	4.72	g/cm³
magnetic moment	1.20	μB/f.u.

a = 3.998 Å, b = 8.331 Å, c = 10.824 Å
α = 113.23°, β = 90.00°, γ = 103.88°
Last column: magnetic moment on the atom in μB.
Positions (direct):
Ce1 0.000 0.000 0.500  1.21
Pm1 0.676 0.352 0.848  -0.08
Pm2 0.324 0.648 0.152  -0.08
Br1 0.317 0.633 0.875  0.00
Br2 0.683 0.367 0.125  0.00
Br3 0.973 0.945 0.210  -0.01
Br4 0.650 0.299 0.555  -0.01
Br5 0.027 0.055 0.790  -0.01
Br6 0.350 0.701 0.445  -0.01

---

Quick look at relative energies in meV/atom: version a 176; version b 0.

---

Version a
This record from Alexandria describes CePr2Br after structural relaxation. The functional is PBE-GGA.

Properties
calculated density	6.63	g/cm³
magnetic moment	0.91	μB/f.u.

a = 3.598 Å, b = 3.598 Å, c = 9.705 Å
α = 90.00°, β = 90.00°, γ = 90.00°
Last column: magnetic moment on the atom in μB.
Positions (direct):
Pr1 0.000 0.000 0.739  0.02
Pr2 0.000 0.000 0.261  0.02
Br1 0.500 0.500 0.500  0.01
Ce1 0.500 0.500 0.000  0.67

---

Version b
This record from Alexandria describes CePr2Br after structural relaxation. The functional is PBE-GGA.

Properties
calculated density	6.54	g/cm³
magnetic moment	0.97	μB/f.u.

a = 3.740 Å, b = 3.740 Å, c = 10.736 Å
α = 79.97°, β = 79.97°, γ = 60.00°
Last column: magnetic moment on the atom in μB.
Positions (direct):
Pr1 0.757 0.757 0.729  0.01
Pr2 0.243 0.243 0.271  0.01
Br1 0.500 0.500 0.500  0.00
Ce1 0.000 0.000 0.000  0.74

---

Quick look at relative energies in meV/atom: version a 86; version b 0.

---

Version a
This record from Alexandria describes CePrBr after structural relaxation. The functional is PBE-GGA.

Properties
calculated density	6.32	g/cm³
magnetic moment	1.80	μB/f.u.

a = 7.811 Å, b = 3.744 Å, c = 3.744 Å
α = 120.00°, β = 90.00°, γ = 90.00°
Last column: magnetic moment on the atom in μB.
Positions (direct):
Pr1 0.690 0.667 0.333  0.11
Br1 0.000 0.000 0.000  0.01
Ce1 0.310 0.333 0.667  1.14

---

Version b
This record from Alexandria describes CePrBr after structural relaxation. The functional is PBE-GGA.

Properties
calculated density	6.41	g/cm³
magnetic moment	1.10	μB/f.u.

a = 3.450 Å, b = 11.205 Å, c = 5.948 Å
α = 55.88°, β = 90.00°, γ = 98.86°
Last column: magnetic moment on the atom in μB.
Positions (direct):
Pr1 0.157 0.313 0.946  0.05
Pr2 0.843 0.687 0.054  0.05
Ce1 0.975 0.950 0.265  0.84
Ce2 0.025 0.050 0.735  0.84
Br1 0.198 0.396 0.361  0.00
Br2 0.802 0.604 0.639  0.00

---

Quick look at relative energies in meV/atom: version a 0; version b 131.

---

Version a
This record from Alexandria describes Ce4PtBr5 after structural relaxation. The functional is PBE-GGA.

Properties
calculated density	5.99	g/cm³
magnetic moment	5.18	μB/f.u.

a = 4.059 Å, b = 7.755 Å, c = 10.548 Å
α = 100.26°, β = 101.09°, γ = 90.00°
Last column: magnetic moment on the atom in μB.
Positions (direct):
Ce1 0.616 0.293 0.232  1.17
Ce2 0.057 0.825 0.113  0.91
Ce3 0.384 0.707 0.768  1.17
Ce4 0.943 0.175 0.887  0.91
Pt1 0.500 0.000 0.000  -0.04
Br1 0.182 0.095 0.364  -0.01
Br2 0.165 0.584 0.330  0.00
Br3 0.835 0.416 0.670  0.00
Br4 0.500 0.500 0.000  -0.01
Br5 0.818 0.905 0.636  -0.01

---

Version b
This record from Alexandria describes Ce4PtBr5 after structural relaxation. The functional is PBE-GGA.

Properties
calculated density	5.96	g/cm³
magnetic moment	5.19	μB/f.u.

a = 4.024 Å, b = 8.800 Å, c = 9.463 Å
α = 100.61°, β = 102.28°, γ = 90.00°
Last column: magnetic moment on the atom in μB.
Positions (direct):
Ce1 0.333 0.939 0.665  1.22
Ce2 0.997 0.778 0.994  0.84
Ce3 0.667 0.061 0.335  1.22
Ce4 0.003 0.222 0.006  0.84
Pt1 0.500 0.000 0.000  -0.03
Br1 0.832 0.680 0.663  -0.01
Br2 0.835 0.202 0.670  -0.01
Br3 0.165 0.798 0.330  -0.01
Br4 0.500 0.500 0.000  -0.01
Br5 0.168 0.320 0.337  -0.01

---

Quick look at relative energies in meV/atom: version a 42; version b 0.